(1)
SrSbAu2: optimized geometry, GGA-PBE.

Output
Total magnetization in μB/f.u.: 0.00
Final energy in eV for the cell shown: -14.0
Space group: P4/mmm, No. 123

The structure in POSCAR format:
```
SrSbAu2
1.0
3.864 0.000 0.000
0.000 3.864 0.000
0.000 0.000 6.683
Sr Sb Au
1 1 2
Cartesian
0.000 0.000 0.000
0.000 0.000 3.341
1.932 1.932 1.812
1.932 1.932 4.871
```

(2)
SrSbAu6: optimized geometry, GGA-PBE.

Output
Total magnetization in μB/f.u.: 0.00
Final energy in eV for the cell shown: -26.7
Space group: Pm-3, No. 200

The structure in POSCAR format:
```
SrSbAu6
1.0
5.562 0.000 0.000
0.000 5.562 0.000
0.000 0.000 5.562
Sr Sb Au
1 1 6
Cartesian
0.000 0.000 0.000
2.781 2.781 2.781
0.000 1.402 2.781
0.000 4.160 2.781
1.402 2.781 0.000
2.781 0.000 1.402
2.781 0.000 4.160
4.160 2.781 0.000
```

(3)
SrSbAu2: optimized geometry, GGA-PBE.

Output
Total magnetization in μB/f.u.: 0.00
Final energy in eV for the cell shown: -14.6
Space group: Cm, No. 8

The structure in POSCAR format:
```
SrSbAu2
1.0
4.424 -2.402 0.000
4.424 2.402 0.000
-1.310 0.000 5.201
Sr Sb Au
1 1 2
Cartesian
0.000 0.000 0.000
5.664 0.000 2.276
1.464 0.000 3.794
2.997 0.000 1.430
```

(4)
Sr3Sb2Au4: optimized geometry, GGA-PBE.

Output
Total magnetization in μB/f.u.: 0.00
Final energy in eV for the cell shown: -33.7
Space group: C2/m, No. 12

The structure in POSCAR format:
```
Sr3Sb2Au4
1.0
5.931 -2.370 0.000
5.931 2.370 0.000
-2.916 0.000 8.923
Sr Sb Au
3 2 4
Cartesian
0.000 0.000 0.000
3.032 0.000 2.949
5.914 0.000 5.974
2.509 0.000 6.426
6.437 0.000 2.497
-0.477 0.000 3.480
0.549 0.000 8.418
8.398 0.000 0.505
9.424 0.000 5.443
```

(5)
Sr2SbAu: optimized geometry, GGA-PBE.

Output
Total magnetization in μB/f.u.: 0.00
Final energy in eV for the cell shown: -14.3
Space group: Amm2, No. 38

The structure in POSCAR format:
```
Sr2SbAu
1.0
4.802 0.000 0.000
0.000 2.244 6.048
0.000 -2.244 6.048
Sr Sb Au
2 1 1
Cartesian
0.000 0.000 0.000
2.401 0.000 3.338
0.000 0.000 8.673
2.401 0.000 6.634
```

(6)
SrSbAu2: optimized geometry, GGA-PBE.

Output
Total magnetization in μB/f.u.: 0.00
Final energy in eV for the cell shown: -14.5
Space group: Pm, No. 6

The structure in POSCAR format:
```
SrSbAu2
1.0
4.502 0.000 0.000
0.000 4.772 0.000
-0.687 0.000 5.239
Sr Sb Au
1 1 2
Cartesian
0.000 0.000 0.000
1.286 2.386 3.638
2.105 0.000 2.481
2.478 2.386 1.047
```

(7)
Sr3Sb5Au6: optimized geometry, GGA-PBE.

Output
Total magnetization in μB/f.u.: 0.00
Final energy in eV for the cell shown: -106.7
Space group: Pmmn, No. 59

The structure in POSCAR format:
```
Sr3Sb5Au6
1.0
4.669 0.000 0.000
0.000 13.926 0.000
0.000 0.000 10.963
Sr Sb Au
6 10 12
Cartesian
1.167 0.990 2.731
1.167 5.973 2.731
1.167 10.445 2.656
3.502 3.482 8.307
3.502 7.953 8.233
3.502 12.936 8.233
1.167 1.162 9.588
1.167 5.801 9.588
1.167 8.553 5.671
1.167 10.445 8.823
1.167 12.336 5.671
3.502 1.590 5.293
3.502 3.482 2.140
3.502 5.373 5.293
3.502 8.125 1.375
3.502 12.764 1.375
1.167 1.076 6.863
1.167 3.482 0.388
1.167 3.482 5.162
1.167 5.887 6.863
1.167 8.412 10.805
1.167 12.477 10.805
3.502 1.449 0.159
3.502 5.514 0.159
3.502 8.039 4.100
3.502 10.445 5.802
3.502 10.445 10.575
3.502 12.851 4.100
```

(8)
SrSbAu2: optimized geometry, GGA-PBE.

Output
Total magnetization in μB/f.u.: 0.00
Final energy in eV for the cell shown: -13.7
Space group: F-43m, No. 216

The structure in POSCAR format:
```
SrSbAu2
1.0
0.000 3.653 3.653
3.653 0.000 3.653
3.653 3.653 0.000
Sr Sb Au
1 1 2
Cartesian
0.000 0.000 0.000
5.479 5.479 5.479
1.826 1.826 1.826
3.653 3.653 3.653
```

(9)
Sr2SbAu: optimized geometry, GGA-PBE.

Output
Total magnetization in μB/f.u.: 0.00
Final energy in eV for the cell shown: -13.7
Space group: Imm2, No. 44

The structure in POSCAR format:
```
Sr2SbAu
1.0
-2.120 2.448 6.014
2.120 -2.448 6.014
2.120 2.448 -6.014
Sr Sb Au
2 1 1
Cartesian
0.000 0.000 0.000
0.000 2.448 2.669
2.120 0.000 3.510
0.000 0.000 5.817
```

(10)
Sr3Sb2Au9: optimized geometry, GGA-PBE.

Output
Total magnetization in μB/f.u.: 0.00
Final energy in eV for the cell shown: -49.8
Space group: Immm, No. 71

The structure in POSCAR format:
```
Sr3Sb2Au9
1.0
-2.345 5.159 6.933
2.345 -5.159 6.933
2.345 5.159 -6.933
Sr Sb Au
3 2 9
Cartesian
0.000 0.000 0.000
0.000 0.000 4.141
0.000 0.000 9.725
2.345 3.012 0.000
0.000 2.146 6.933
2.345 -1.371 2.280
2.345 -2.195 5.036
2.345 1.371 2.280
0.000 2.963 1.897
0.000 5.159 0.000
2.345 2.195 5.036
0.000 3.787 4.653
0.000 7.354 1.897
0.000 6.530 4.653
```

(11)
Sr2SbAu: optimized geometry, GGA-PBE.

Output
Total magnetization in μB/f.u.: 0.00
Final energy in eV for the cell shown: -14.2
Space group: P4mm, No. 99

The structure in POSCAR format:
```
Sr2SbAu
1.0
5.570 0.000 0.000
0.000 5.570 0.000
0.000 0.000 4.004
Sr Sb Au
2 1 1
Cartesian
0.000 2.785 0.000
2.785 0.000 0.000
0.000 0.000 2.000
2.785 2.785 2.037
```

(12)
SrSbAu10: optimized geometry, GGA-PBE.

Output
Total magnetization in μB/f.u.: 0.00
Final energy in eV for the cell shown: -40.7
Space group: Pmmm, No. 47

The structure in POSCAR format:
```
SrSbAu10
1.0
4.681 0.000 0.000
0.000 5.655 0.000
0.000 0.000 9.775
Sr Sb Au
1 1 10
Cartesian
0.000 0.000 0.000
0.000 2.828 4.888
0.000 0.000 3.343
0.000 0.000 6.432
0.000 2.828 1.732
0.000 2.828 8.043
2.341 0.000 4.888
2.341 1.399 2.421
2.341 1.399 7.354
2.341 2.828 0.000
2.341 4.257 2.421
2.341 4.257 7.354
```